1.
The following is a DFT calculation (PBE) of a relaxed structure of Tc2AgBr.

- Space group: P4/mmm
- D(E_F): 5.506 states/eV/cell

Cell lengths 3.7865, 3.7865, 4.9331 Å; angles 90.00, 90.00, 90.00 degrees
Last column: nearest neighbours and their distance in Å.
Sites, in units of the cell vectors:
Tc  0.0000  0.5000  0.0000  4 Tc 2.68
Tc  0.5000  0.0000  0.0000  4 Tc 2.68
Ag  0.0000  0.0000  0.5000  4 Br 2.68
Br  0.5000  0.5000  0.5000  4 Ag 2.68


2.
The following is a DFT calculation (PBE) of a relaxed structure of Tc2AgBr.

- Space group: Pmmm
- D(E_F): 4.299 states/eV/cell

Cell lengths 2.9193, 4.7566, 4.9254 Å; angles 90.00, 90.00, 90.00 degrees
Last column: nearest neighbours and their distance in Å.
Sites, in units of the cell vectors:
Tc  0.0000  0.0000  0.0000  6 Tc 2.79-2.92, 4 Br 2.86
Tc  0.5000  0.5000  0.0000  6 Tc 2.79-2.92, 4 Ag 2.86
Ag  0.0000  0.5000  0.5000  4 Br 2.79, 4 Tc 2.86, 2 Ag 2.92
Br  0.5000  0.0000  0.5000  4 Ag 2.79, 4 Tc 2.86, 2 Br 2.92


3.
The following is a DFT calculation (PBE) of a relaxed structure of Tc2AgBr.

- Space group: P4mm
- D(E_F): 5.916 states/eV/cell

Cell lengths 2.9811, 2.9811, 8.3346 Å; angles 90.00, 90.00, 90.00 degrees
Last column: nearest neighbours and their distance in Å.
Sites, in units of the cell vectors:
Tc  0.0000  0.0000  0.0000  4 Tc 2.57
Tc  0.5000  0.5000  0.1761  4 Tc 2.57
Ag  0.0000  0.0000  0.4280  4 Tc 2.98, 4 Ag 2.98
Br  0.5000  0.5000  0.7630  4 Tc 2.89, 4 Br 2.98


4.
The following is a DFT calculation (PBE) of a relaxed structure of Tc2AgBr.

- Space group: Pm
- D(E_F): 2.735 states/eV/cell

Cell lengths 3.0817, 3.0212, 8.1249 Å; angles 90.00, 100.27, 90.00 degrees
Last column: nearest neighbours and their distance in Å.
Sites, in units of the cell vectors:
Tc  0.0000  0.0000  0.0000  4 Tc 2.56, 2 Br 2.61
Tc  0.4196  0.5000  0.8286  4 Tc 2.56
Ag  0.7979  0.0000  0.5709  4 Tc 2.98, 4 Ag 3.02-3.08, 4 Br 3.22-3.29
Br  0.1286  0.5000  0.2659  2 Tc 2.61


5.
The following is a DFT calculation (PBE) of a relaxed structure of Tc2AgBr.

- Space group: P4/mmm
- D(E_F): 5.082 states/eV/cell

Cell lengths 3.0958, 3.0958, 6.6601 Å; angles 90.00, 90.00, 90.00 degrees
Last column: nearest neighbours and their distance in Å.
Sites, in units of the cell vectors:
Tc  0.0000  0.0000  0.2280  4 Br 2.66, 4 Ag 2.84
Tc  0.0000  0.0000  0.7720  4 Br 2.66, 4 Ag 2.84
Ag  0.5000  0.5000  0.5000  8 Tc 2.84, 4 Ag 3.10
Br  0.5000  0.5000  0.0000  8 Tc 2.66


6.
The following is a DFT calculation (PBE) of a relaxed structure of Tc2AgBr.

- Space group: P4/mmm
- D(E_F): 4.392 states/eV/cell

Cell lengths 4.6008, 4.6008, 3.0531 Å; angles 90.00, 90.00, 90.00 degrees
Last column: nearest neighbours and their distance in Å.
Sites, in units of the cell vectors:
Tc  0.0000  0.5000  0.0000  4 Br 2.76, 4 Ag 2.76, 2 Tc 3.05
Tc  0.5000  0.0000  0.0000  4 Br 2.76, 4 Ag 2.76, 2 Tc 3.05
Ag  0.0000  0.0000  0.5000  8 Tc 2.76, 2 Ag 3.05
Br  0.5000  0.5000  0.5000  8 Tc 2.76, 2 Br 3.05


7.
The following is a DFT calculation (PBE) of a relaxed structure of Tc2AgBr.

- Space group: P2/m
- D(E_F): 2.556 states/eV/cell

Cell lengths 3.6406, 4.7514, 4.9145 Å; angles 90.00, 98.36, 90.00 degrees
Last column: nearest neighbours and their distance in Å.
Sites, in units of the cell vectors:
Tc  0.1779  0.0000  0.3420  1 Tc 2.16
Tc  0.8221  0.0000  0.6580  1 Tc 2.16
Ag  0.5000  0.5000  0.5000  4 Tc 2.71, 2 Br 2.84
Br  0.0000  0.5000  0.0000  2 Ag 2.84, 4 Tc 2.93


8.
The following is a DFT calculation (PBE) of a relaxed structure of TcAgBr4.

- Space group: F-43m
- D(E_F): 8.299 states/eV/cell

Cell lengths 6.2396, 6.2396, 6.2396 Å; angles 60.00, 60.00, 60.00 degrees
Last column: nearest neighbours and their distance in Å.
Sites, in units of the cell vectors:
Tc  0.0000  0.0000  0.0000  12 Br 3.66, 4 Ag 3.82
Ag  0.7500  0.7500  0.7500  12 Br 3.66, 4 Tc 3.82
Br  0.3750  0.3750  0.3750  6 Br 3.12
Br  0.3750  0.3750  0.8750  6 Br 3.12
Br  0.3750  0.8750  0.3750  6 Br 3.12
Br  0.8750  0.3750  0.3750  6 Br 3.12


no.,E above lowest polymorph (eV/f.u.),spin magnetization (Bohr magnetons per cell),E_form (uncorrected) (eV/atom)
1,3.57,0.8,1.212
2,2.98,0.0,1.064
3,0.32,0.0,0.398
4,0.00,0.0,0.318
5,2.84,0.0,1.029
6,3.18,0.0,1.112
7,2.10,0.0,0.842
8,8.20,3.2,1.151